[1]
Crystalline Be2HgRu at its relaxed geometry, computed with PBEsol.

The calculation puts the density of states at the Fermi level at 0.535 states/eV per atom. The value obtained for the formation energy is 143 meV per atom.

extended XYZ file:
```
4
Lattice="2.9296 0.0000 0.0000 0.0000 2.9296 0.0000 0.0000 0.0000 5.8222" Properties=species:S:1:pos:R:3 pbc="T T T"
Be 0.0000 0.0000 0.0000
Be 1.4648 1.4648 1.1817
Hg 0.0000 0.0000 2.7972
Ru 1.4648 1.4648 4.7906
```

[2]
Crystalline BeHg4Sb at its relaxed geometry, computed with PBEsol.

The calculation puts the density of states at the Fermi level at 0.440 states/eV per atom. The uncorrected formation energy comes out at 581 meV per atom.

extended XYZ file:
```
6
Lattice="0.0000 4.1089 4.1089 4.1089 0.0000 4.1089 4.1089 4.1089 0.0000" Properties=species:S:1:pos:R:3 pbc="T T T"
Be 0.0000 0.0000 0.0000
Hg 3.0793 3.0793 3.0793
Hg 5.1385 5.1385 3.0793
Hg 5.1385 3.0793 5.1385
Hg 3.0793 5.1385 5.1385
Sb 6.1633 6.1633 6.1633
```

[3]
Crystalline Be2HgSb at its relaxed geometry, computed with PBEsol.

The calculation puts the density of states at the Fermi level at 0.430 states/eV per atom. The uncorrected formation energy comes out at 653 meV per atom. Its energy above the most stable polymorph in this dataset is 0.250 eV per formula unit.

extended XYZ file:
```
4
Lattice="4.6796 0.0000 0.0000 0.0000 4.6796 0.0000 0.0000 0.0000 3.0934" Properties=species:S:1:pos:R:3 pbc="T T T"
Be 0.0000 2.3398 0.0000
Be 2.3398 0.0000 0.0000
Hg 0.0000 0.0000 1.5467
Sb 2.3398 2.3398 1.5467
```

[4]
Crystalline Be2HgSb at its relaxed geometry, computed with PBEsol.

The calculation puts the density of states at the Fermi level at 0.348 states/eV per atom. The uncorrected formation energy comes out at 591 meV per atom. Its energy above the most stable polymorph in this dataset is 0.000 eV per formula unit.

extended XYZ file:
```
4
Lattice="2.9023 0.0000 0.0000 0.0000 3.6187 0.0000 0.0000 0.0000 6.3896" Properties=species:S:1:pos:R:3 pbc="T T T"
Be 0.0000 0.0000 1.2639
Be 0.0000 0.0000 5.1258
Hg 1.4512 1.8094 0.0000
Sb 1.4512 1.8094 3.1948
```

[5]
Crystalline TaBeHgSb2 at its relaxed geometry, computed with PBEsol.

The calculation puts the density of states at the Fermi level at 0.361 states/eV per atom. The uncorrected formation energy comes out at 985 meV per atom.

extended XYZ file:
```
5
Lattice="5.2563 0.0000 0.0000 0.0000 5.2563 0.0000 0.0000 0.0000 5.3672" Properties=species:S:1:pos:R:3 pbc="T T T"
Ta 0.0000 0.0000 0.0000
Be 2.6281 2.6281 2.6836
Hg 0.0000 0.0000 2.6836
Sb 0.0000 2.6281 0.0000
Sb 2.6281 0.0000 0.0000
```

[6]
Crystalline ScBe2Hg at its relaxed geometry, computed with PBEsol.

The calculation puts the density of states at the Fermi level at 0.513 states/eV per atom. The value obtained for the formation energy is 34 meV per atom.

extended XYZ file:
```
4
Lattice="2.9425 0.0000 0.0000 0.0000 2.9425 0.0000 0.0000 0.0000 6.7294" Properties=species:S:1:pos:R:3 pbc="T T T"
Sc 0.0000 0.0000 0.0000
Be 0.0000 0.0000 2.7686
Be 1.4713 1.4713 1.7951
Hg 1.4713 1.4713 4.4996
```

[7]
Crystalline BeHg2Se at its relaxed geometry, computed with PBEsol.

The calculation puts the density of states at the Fermi level at 0.813 states/eV per atom. The uncorrected formation energy comes out at 588 meV per atom. Its energy above the most stable polymorph in this dataset is 1.504 eV per formula unit.

extended XYZ file:
```
4
Lattice="0.0000 3.4199 3.4199 3.4199 0.0000 3.4199 3.4199 3.4199 0.0000" Properties=species:S:1:pos:R:3 pbc="T T T"
Be 0.0000 0.0000 0.0000
Hg 1.7100 1.7100 1.7100
Hg 5.1299 5.1299 5.1299
Se 3.4199 3.4199 3.4199
```

[8]
Crystalline BeHgSe2 at its relaxed geometry, computed with PBEsol.

The uncorrected formation energy comes out at -471 meV per atom. Its energy above the most stable polymorph in this dataset is 0.000 eV per formula unit.

extended XYZ file:
```
8
Lattice="-2.8476 2.8476 5.4071 2.8476 -2.8476 5.4071 2.8476 2.8476 -5.4071" Properties=species:S:1:pos:R:3 pbc="T T T"
Be 0.0000 0.0000 0.0000
Be 0.0000 2.8476 2.7036
Hg 2.8476 0.0000 2.7036
Hg 0.0000 0.0000 5.4071
Se 4.2713 1.0666 -1.3518
Se 1.0666 1.4238 1.3518
Se -1.4238 1.7810 4.0554
Se 1.7810 1.4238 6.7589
```

[9]
Crystalline BeHg2Se at its relaxed geometry, computed with PBEsol.

The calculation puts the density of states at the Fermi level at 0.365 states/eV per atom. The uncorrected formation energy comes out at 212 meV per atom. Its energy above the most stable polymorph in this dataset is 0.000 eV per formula unit.

extended XYZ file:
```
4
Lattice="1.9358 1.1176 5.9917 -1.9358 1.1176 5.9917 0.0000 -2.2353 5.9917" Properties=species:S:1:pos:R:3 pbc="T T T"
Be 0.0000 0.0000 0.0000
Hg 0.0000 0.0000 4.7496
Hg 0.0000 0.0000 13.2253
Se 0.0000 0.0000 8.9875
```

[10]
Crystalline BeHgSe2 at its relaxed geometry, computed with PBEsol.

The calculation puts the density of states at the Fermi level at 0.481 states/eV per atom. The uncorrected formation energy comes out at 579 meV per atom. Its energy above the most stable polymorph in this dataset is 4.198 eV per formula unit.

extended XYZ file:
```
4
Lattice="0.0000 3.3413 3.3413 3.3413 0.0000 3.3413 3.3413 3.3413 0.0000" Properties=species:S:1:pos:R:3 pbc="T T T"
Be 0.0000 0.0000 0.0000
Hg 1.6706 1.6706 1.6706
Se 3.3413 3.3413 3.3413
Se 5.0119 5.0119 5.0119
```

[11]
Crystalline Be2HgSe at its relaxed geometry, computed with PBEsol.

The calculation puts the density of states at the Fermi level at 0.498 states/eV per atom. The uncorrected formation energy comes out at 641 meV per atom.

extended XYZ file:
```
4
Lattice="0.0000 3.1489 3.1489 3.1489 0.0000 3.1489 3.1489 3.1489 0.0000" Properties=species:S:1:pos:R:3 pbc="T T T"
Be 1.5744 1.5744 1.5744
Be 4.7233 4.7233 4.7233
Hg 0.0000 0.0000 0.0000
Se 3.1489 3.1489 3.1489
```

[12]
Crystalline BeHg2Se at its relaxed geometry, computed with PBEsol.

The calculation puts the density of states at the Fermi level at 0.226 states/eV per atom. The uncorrected formation energy comes out at 339 meV per atom. Its energy above the most stable polymorph in this dataset is 0.511 eV per formula unit.

extended XYZ file:
```
4
Lattice="3.7918 0.0000 0.0000 0.0000 3.7918 0.0000 0.0000 0.0000 6.0760" Properties=species:S:1:pos:R:3 pbc="T T T"
Be 0.0000 0.0000 0.0000
Hg 0.0000 1.8959 3.0380
Hg 1.8959 0.0000 3.0380
Se 1.8959 1.8959 0.0000
```

[13]
Crystalline BeHg2Se at its relaxed geometry, computed with PBEsol.

The calculation puts the density of states at the Fermi level at 0.306 states/eV per atom. The uncorrected formation energy comes out at 482 meV per atom. Its energy above the most stable polymorph in this dataset is 1.082 eV per formula unit.

extended XYZ file:
```
4
Lattice="-2.4063 2.4063 3.4581 2.4063 -2.4063 3.4581 2.4063 2.4063 -3.4581" Properties=species:S:1:pos:R:3 pbc="T T T"
Be 0.0000 0.0000 0.0000
Hg 0.0000 0.0000 3.4581
Hg 0.0000 2.4063 1.7290
Se 2.4063 0.0000 1.7290
```

[14]
Crystalline Be2SiHg2 at its relaxed geometry, computed with PBEsol.

The calculation puts the density of states at the Fermi level at 0.288 states/eV per atom. The uncorrected formation energy comes out at 488 meV per atom.

extended XYZ file:
```
5
Lattice="-1.7887 1.7887 6.1913 1.7887 -1.7887 6.1913 1.7887 1.7887 -6.1913" Properties=species:S:1:pos:R:3 pbc="T T T"
Be 1.7887 0.0000 3.0957
Be 0.0000 1.7887 3.0957
Si 0.0000 0.0000 0.0000
Hg 0.0000 0.0000 4.7478
Hg 0.0000 0.0000 7.6349
```

[15]
Crystalline BeSiHg2 at its relaxed geometry, computed with PBEsol.

The calculation puts the density of states at the Fermi level at 0.370 states/eV per atom. The uncorrected formation energy comes out at 590 meV per atom. Its energy above the most stable polymorph in this dataset is 0.681 eV per formula unit.

extended XYZ file:
```
4
Lattice="3.3227 0.0000 0.0000 0.0000 4.1070 0.0000 0.0000 0.0000 5.4033" Properties=species:S:1:pos:R:3 pbc="T T T"
Be 0.0000 0.0000 0.0000
Si 1.6614 0.0000 2.7017
Hg 0.0000 2.0535 2.7017
Hg 1.6614 2.0535 0.0000
```